VASP calculation (PBE) on crystalline In8Ga6Sn at its relaxed geometry.

Summary:
SG: No. 148
Electronic total energy, eV/f.u.: -43.1
Total magnetic moment, μB per cell: 0.000
Formation energy, kJ/mol of formula units: 93

```
In8Ga6Sn
1.0
-5.263 -3.534 -6.989
2.063 -8.454 -3.648
-3.960 -6.102 -0.302
In Ga Sn
8 6 1
Direct
0.185 0.598 0.282
0.598 0.934 0.282
0.225 0.225 0.325
0.934 0.185 0.282
0.775 0.775 0.675
0.066 0.815 0.718
0.402 0.066 0.718
0.815 0.402 0.718
0.578 0.418 0.233
0.771 0.578 0.233
0.229 0.422 0.767
0.582 0.229 0.767
0.422 0.582 0.767
0.418 0.771 0.233
0.000 0.000 0.000
```